VASP calculation (meta-GGA SCAN) on AgS2I at its PBEsol-relaxed geometry.

Output
E above lowest polymorph: 0.0000 eV per atom
ΔE_f (raw): 0.17 eV per atom
DOS at the Fermi energy: 9.39 states/eV per cell
VASP energy: -0.7963 Ha/atom
total moment: 0.00 μB per formula unit

a b c (Å): 3.854 3.854 22.763
angles (deg): 90.00 90.00 120.00
Fractional coordinates of all 12 atoms:
Ag  0.000  0.000  0.000
Ag  0.333  0.667  0.667
Ag  0.667  0.333  0.333
S  0.000  0.000  0.387
S  0.000  0.000  0.613
S  0.333  0.667  0.054
S  0.333  0.667  0.279
S  0.667  0.333  0.721
S  0.667  0.333  0.946
I  0.000  0.000  0.500
I  0.333  0.667  0.167
I  0.667  0.333  0.833

VASP calculation (meta-GGA SCAN) on MgAl2Ru at its PBEsol-relaxed geometry.

Output
DFT formation energy: -0.406 eV per atom
DOS at the Fermi energy: 3.31 states/eV per cell
VASP energy: -0.5230 Ha/atom
total moment: 0.00 μB per formula unit

a b c (Å): 3.937 3.937 7.661
angles (deg): 90.00 90.00 90.00
Fractional coordinates of all 8 atoms:
Mg  0.000  0.000  0.000
Mg  0.500  0.500  0.500
Al  0.000  0.500  0.250
Al  0.000  0.500  0.750
Al  0.500  0.000  0.250
Al  0.500  0.000  0.750
Ru  0.000  0.000  0.500
Ru  0.500  0.500  0.000

VASP calculation (meta-GGA SCAN) on Tc2RuCl at its PBEsol-relaxed geometry.

Output
E above lowest polymorph: 0.0000 eV per atom
ΔE_f (raw): 0.58 eV per atom
DOS at the Fermi energy: 3.11 states/eV per cell
VASP energy: -1.0160 Ha/atom
total moment: 0.00 μB per formula unit

a b c (Å): 2.816 3.935 5.111
angles (deg): 90.00 105.19 90.00
Fractional coordinates of all 4 atoms:
Tc  0.139  0.000  0.260
Tc  0.861  0.000  0.740
Ru  0.500  0.500  0.000
Cl  0.500  0.500  0.500

VASP calculation (meta-GGA SCAN) on BaLiCl at its PBEsol-relaxed geometry.

Output
ΔE_f (raw): -1.12 eV per atom
DOS at the Fermi energy: 2.22 states/eV per cell
VASP energy: -0.6526 Ha/atom
total moment: 0.43 μB per formula unit

a b c (Å): 3.925 3.925 7.048
angles (deg): 90.00 90.00 120.00
Fractional coordinates of all 3 atoms:
Ba  0.000  0.000  0.000
Li  0.333  0.667  0.493
Cl  0.667  0.333  0.665

VASP calculation (meta-GGA SCAN) on K2SbSe at its PBEsol-relaxed geometry.

Output
E above lowest polymorph: 0.0000 eV per atom
ΔE_f (raw): -0.57 eV per atom
DOS at the Fermi energy: 2.18 states/eV per cell
VASP energy: -0.7010 Ha/atom
total moment: 0.00 μB per formula unit

a b c (Å): 4.688 4.688 10.212
angles (deg): 90.00 90.00 90.00
Fractional coordinates of all 8 atoms:
K  0.000  0.500  0.250
K  0.000  0.500  0.750
K  0.500  0.000  0.250
K  0.500  0.000  0.750
Sb  0.000  0.000  0.000
Sb  0.500  0.500  0.500
Se  0.000  0.000  0.500
Se  0.500  0.500  0.000

VASP calculation (meta-GGA SCAN) on AlPtI2O at its PBEsol-relaxed geometry.

Output
ΔE_f (raw): 0.04 eV per atom
DOS at the Fermi energy: 1.35 states/eV per cell
VASP energy: -1.1573 Ha/atom
total moment: 0.81 μB per formula unit

a b c (Å): 5.613 5.613 3.804
angles (deg): 90.00 90.00 90.00
Fractional coordinates of all 5 atoms:
Al  0.000  0.000  0.000
Pt  0.500  0.500  0.500
I  0.000  0.500  0.500
I  0.500  0.000  0.500
O  0.500  0.500  0.000

VASP calculation (meta-GGA SCAN) on CdO2 at its PBEsol-relaxed geometry.

Output
ΔE_f (raw): -0.67 eV per atom
DOS at the Fermi energy: 0.00 states/eV per cell
VASP energy: -0.5499 Ha/atom
total moment: 0.00 μB per formula unit

a b c (Å): 5.313 5.313 5.313
angles (deg): 90.00 90.00 90.00
Fractional coordinates of all 12 atoms:
Cd  0.000  0.000  0.000
Cd  0.000  0.500  0.500
Cd  0.500  0.000  0.500
Cd  0.500  0.500  0.000
O  0.081  0.581  0.919
O  0.081  0.919  0.419
O  0.419  0.081  0.919
O  0.419  0.419  0.419
O  0.581  0.581  0.581
O  0.581  0.919  0.081
O  0.919  0.081  0.581
O  0.919  0.419  0.081

VASP calculation (meta-GGA SCAN) on ReRu2W at its PBEsol-relaxed geometry.

Output
E above lowest polymorph: 0.0119 eV per atom
DFT formation energy: 0.023 eV per atom
DOS at the Fermi energy: 3.26 states/eV per cell
VASP energy: -1.9325 Ha/atom
total moment: 0.00 μB per formula unit

a b c (Å): 2.727 3.827 5.457
angles (deg): 90.00 90.00 90.00
Fractional coordinates of all 4 atoms:
Re  0.000  0.000  0.000
Ru  0.500  0.500  0.245
Ru  0.500  0.500  0.755
W  0.000  0.000  0.500

VASP calculation (meta-GGA SCAN) on VF5 at its PBEsol-relaxed geometry.

Output
ΔE_f (raw): -2.76 eV per atom
DOS at the Fermi energy: 0.00 states/eV per cell
VASP energy: -0.3171 Ha/atom
total moment: 0.00 μB per formula unit

a b c (Å): 7.200 5.065 9.671
angles (deg): 90.00 112.13 90.00
Fractional coordinates of all 24 atoms:
V  0.000  0.000  0.000
V  0.000  0.500  0.500
V  0.500  0.000  0.000
V  0.500  0.500  0.500
F  0.049  0.148  0.173
F  0.049  0.352  0.673
F  0.119  0.712  0.089
F  0.119  0.788  0.589
F  0.250  0.130  0.000
F  0.250  0.370  0.500
F  0.381  0.713  0.910
F  0.381  0.787  0.410
F  0.451  0.150  0.828
F  0.451  0.350  0.328
F  0.549  0.650  0.672
F  0.549  0.850  0.172
F  0.619  0.213  0.590
F  0.619  0.287  0.090
F  0.750  0.630  0.500
F  0.750  0.870  0.000
F  0.881  0.212  0.411
F  0.881  0.288  0.911
F  0.951  0.648  0.327
F  0.951  0.852  0.827

VASP calculation (meta-GGA SCAN) on TaZnBi3 at its PBEsol-relaxed geometry.

Output
DFT formation energy: 1.303 eV per atom
DOS at the Fermi energy: 4.87 states/eV per cell
VASP energy: -2.2735 Ha/atom
total moment: 3.07 μB per formula unit

a b c (Å): 5.189 5.189 5.189
angles (deg): 90.00 90.00 90.00
Fractional coordinates of all 5 atoms:
Ta  0.000  0.000  0.000
Zn  0.500  0.500  0.500
Bi  0.000  0.500  0.500
Bi  0.500  0.000  0.500
Bi  0.500  0.500  0.000

VASP calculation (meta-GGA SCAN) on Mg4InNi at its PBEsol-relaxed geometry.

Output
DFT formation energy: 0.277 eV per atom
DOS at the Fermi energy: 1.79 states/eV per cell
VASP energy: -0.4152 Ha/atom
total moment: 0.00 μB per formula unit

a b c (Å): 5.521 5.521 5.521
angles (deg): 60.00 60.00 60.00
Fractional coordinates of all 6 atoms:
Mg  0.376  0.376  0.376
Mg  0.376  0.376  0.873
Mg  0.376  0.873  0.376
Mg  0.873  0.376  0.376
In  0.000  0.000  0.000
Ni  0.750  0.750  0.750

VASP calculation (meta-GGA SCAN) on Mg4In5 at its PBEsol-relaxed geometry.

Output
E above lowest polymorph: 0.0248 eV per atom
DFT formation energy: -0.078 eV per atom
DOS at the Fermi energy: 6.92 states/eV per cell
VASP energy: -0.7657 Ha/atom
total moment: 0.00 μB per formula unit

a b c (Å): 8.912 8.912 6.160
angles (deg): 90.00 90.00 120.00
Fractional coordinates of all 18 atoms:
Mg  0.000  0.000  0.000
Mg  0.000  0.000  0.500
Mg  0.000  0.360  0.250
Mg  0.000  0.640  0.750
Mg  0.360  0.000  0.250
Mg  0.360  0.360  0.750
Mg  0.640  0.000  0.750
Mg  0.640  0.640  0.250
In  0.000  0.304  0.750
In  0.000  0.696  0.250
In  0.304  0.000  0.750
In  0.304  0.304  0.250
In  0.333  0.667  0.000
In  0.333  0.667  0.500
In  0.667  0.333  0.000
In  0.667  0.333  0.500
In  0.696  0.000  0.250
In  0.696  0.696  0.750